1.
The following is a DFT calculation (PBE-GGA) of crystalline Pa2BSbRu6 at its relaxed geometry.

Its raw formation energy is 233 meV/atom. Its crystal system is tetragonal. The calculation puts the volume at 18.21 Å³ per atom. Its calculated total energy is -8.31 eV/atom. The value obtained for the total magnetization is 0.0000 μB/atom.

Cell lengths 4.5531, 4.5531, 8.7851 Å; angles 90.00, 90.00, 90.00 degrees
Space group P4/mmm (No. 123)
One atom of each set of equivalent atoms:
1 Pa 0.0000 0.0000 0.2312 [2 per cell]
2 B 0.5000 0.5000 0.0000 [1 per cell]
3 Sb 0.5000 0.5000 0.5000 [1 per cell]
4 Ru 0.0000 0.5000 0.0000 [2 per cell]
5 Ru 0.0000 0.5000 0.5000 [2 per cell]
6 Ru 0.5000 0.5000 0.2205 [2 per cell]

=====

2.
The following is a DFT calculation (PBE-GGA) of crystalline HoTm2Cd8 at its relaxed geometry.

Its crystal system is monoclinic. The calculation puts the volume at 23.92 Å³ per atom. Its calculated total energy is -2.10 eV/atom. The value obtained for the total magnetization is 0.0000 μB/atom. For the formation energy, the calculation gives -0.205 eV per atom.

Cell lengths 8.0365, 15.7735, 5.3309 Å; angles 90.00, 128.86, 90.00 degrees
Space group C2/m (No. 12)
One atom of each set of equivalent atoms:
1 Ho 0.0000 0.0000 0.0000 [2 per cell]
2 Tm 0.0000 0.3126 0.5000 [4 per cell]
3 Cd 0.0000 0.2008 0.0000 [4 per cell]
4 Cd 0.0230 0.5000 0.2748 [4 per cell]
5 Cd 0.2323 0.1311 0.7505 [8 per cell]

=====

3.
The following is a DFT calculation (PBE-GGA) of crystalline YErHgAu at its relaxed geometry.

Its crystal system is tetragonal. The calculation puts the volume at 24.27 Å³ per atom. Its calculated total energy is -4.34 eV/atom. The value obtained for the total magnetization is 0.0000 μB/atom. For the formation energy, the calculation gives -0.685 eV per atom.

Cell lengths 3.6634, 3.6634, 7.2336 Å; angles 90.00, 90.00, 90.00 degrees
Space group P4mm (No. 99)
One atom of each set of equivalent atoms:
1 Y 0.0000 0.0000 0.0000 [1 per cell]
2 Er 0.0000 0.0000 0.5207 [1 per cell]
3 Hg 0.5000 0.5000 0.2655 [1 per cell]
4 Au 0.5000 0.5000 0.7506 [1 per cell]

=====

4.
The following is a DFT calculation (PBE-GGA) of crystalline Tl3CrGa at its relaxed geometry.

Its crystal system is cubic. The calculation puts the volume at 29.84 Å³ per atom. Its calculated total energy is -3.42 eV/atom. The value obtained for the total magnetization is 0.5250 μB/atom. For the formation energy, the calculation gives 0.525 eV per atom.

Cell lengths 5.3036, 5.3036, 5.3036 Å; angles 90.00, 90.00, 90.00 degrees
Space group Pm-3m (No. 221)
One atom of each set of equivalent atoms:
1 Tl 0.0000 0.0000 0.5000 [3 per cell]
2 Cr 0.0000 0.0000 0.0000 [1 per cell]
3 Ga 0.5000 0.5000 0.5000 [1 per cell]

=====

5.
The following is a DFT calculation (PBE-GGA) of crystalline MgCoTe at its relaxed geometry.

Its raw formation energy is 86 meV/atom. Its crystal system is trigonal. The calculation puts the volume at 20.70 Å³ per atom. Its calculated total energy is -3.86 eV/atom. The value obtained for the total magnetization is 0.0003 μB/atom.

Cell lengths 3.4603, 3.4603, 5.9885 Å; angles 90.00, 90.00, 120.00 degrees
Space group P3m1 (No. 156)
One atom of each set of equivalent atoms:
1 Mg 0.0000 0.0000 0.0000 [1 per cell]
2 Co 0.3333 0.6667 0.6872 [1 per cell]
3 Te 0.6667 0.3333 0.4472 [1 per cell]

=====

6.
The following is a DFT calculation (PBE-GGA) of crystalline CsCd4Au at its relaxed geometry.

Its crystal system is cubic. The calculation puts the volume at 28.70 Å³ per atom. Its calculated total energy is -1.23 eV/atom. The value obtained for the total magnetization is 0.0000 μB/atom. For the formation energy, the calculation gives 0.067 eV per atom.

Cell lengths 8.8314, 8.8314, 8.8314 Å; angles 90.00, 90.00, 90.00 degrees
Space group F-43m (No. 216)
One atom of each set of equivalent atoms:
1 Cs 0.0000 0.0000 0.0000 [4 per cell]
2 Cd 0.1234 0.1234 0.3766 [16 per cell]
3 Au 0.2500 0.2500 0.7500 [4 per cell]

=====

7.
The following is a DFT calculation (PBE-GGA) of crystalline BaTaSb at its relaxed geometry.

Its raw formation energy is 187 meV/atom. Its crystal system is tetragonal. The calculation puts the volume at 29.97 Å³ per atom. Its calculated total energy is -5.78 eV/atom. The value obtained for the total magnetization is 0.0000 μB/atom.

Cell lengths 3.7843, 3.7843, 12.5572 Å; angles 90.00, 90.00, 90.00 degrees
Space group I4mm (No. 107)
One atom of each set of equivalent atoms:
1 Ba 0.0000 0.0000 0.0000 [2 per cell]
2 Ta 0.0000 0.0000 0.7062 [2 per cell]
3 Sb 0.0000 0.0000 0.2787 [2 per cell]

=====

8.
The following is a DFT calculation (PBE-GGA) of crystalline ThHgGe at its relaxed geometry.

Its crystal system is tetragonal. The calculation puts the volume at 25.72 Å³ per atom. Its calculated total energy is -4.30 eV/atom. The value obtained for the total magnetization is 0.0000 μB/atom. For the formation energy, the calculation gives -0.190 eV per atom.

Cell lengths 4.1086, 4.1086, 9.1412 Å; angles 90.00, 90.00, 90.00 degrees
Space group I4mm (No. 107)
One atom of each set of equivalent atoms:
1 Th 0.0000 0.0000 0.0000 [2 per cell]
2 Hg 0.0000 0.0000 0.3291 [2 per cell]
3 Ge 0.0000 0.0000 0.6505 [2 per cell]

=====

9.
The following is a DFT calculation (PBE-GGA) of crystalline ZnReOs2 at its relaxed geometry.

Its crystal system is cubic. The calculation puts the volume at 14.52 Å³ per atom. Its calculated total energy is -8.56 eV/atom. The value obtained for the total magnetization is 0.0003 μB/atom. For the formation energy, the calculation gives 0.485 eV per atom.

Cell lengths 6.1474, 6.1474, 6.1474 Å; angles 90.00, 90.00, 90.00 degrees
Space group F-43m (No. 216)
One atom of each set of equivalent atoms:
1 Zn 0.0000 0.0000 0.0000 [4 per cell]
2 Re 0.2500 0.2500 0.2500 [4 per cell]
3 Os 0.0000 0.0000 0.5000 [4 per cell]
4 Os 0.2500 0.2500 0.7500 [4 per cell]

=====

10.
The following is a DFT calculation (PBE-GGA) of crystalline HgBi2O2 at its relaxed geometry.

Its raw formation energy is -592 meV/atom. Its crystal system is tetragonal. The calculation puts the volume at 21.01 Å³ per atom. Its calculated total energy is -4.19 eV/atom. The value obtained for the total magnetization is 0.0000 μB/atom.

Cell lengths 4.2816, 4.2816, 11.4608 Å; angles 90.00, 90.00, 90.00 degrees
Space group I4/mmm (No. 139)
One atom of each set of equivalent atoms:
1 Hg 0.0000 0.0000 0.0000 [2 per cell]
2 Bi 0.0000 0.0000 0.3441 [4 per cell]
3 O 0.0000 0.5000 0.2500 [4 per cell]

=====

11.
The following is a DFT calculation (PBE-GGA) of crystalline Sr2AgRhCl at its relaxed geometry.

Its raw formation energy is -419 meV/atom. Its crystal system is tetragonal. The calculation puts the volume at 28.54 Å³ per atom. Its calculated total energy is -3.50 eV/atom. The value obtained for the total magnetization is 0.0000 μB/atom.

Cell lengths 5.6523, 5.6523, 4.4672 Å; angles 90.00, 90.00, 90.00 degrees
Space group P4/mmm (No. 123)
One atom of each set of equivalent atoms:
1 Sr 0.0000 0.5000 0.0000 [2 per cell]
2 Ag 0.0000 0.0000 0.5000 [1 per cell]
3 Rh 0.5000 0.5000 0.5000 [1 per cell]
4 Cl 0.5000 0.5000 0.0000 [1 per cell]

=====

12.
The following is a DFT calculation (PBE-GGA) of crystalline Tb6Nd4Sm at its relaxed geometry.

Its crystal system is tetragonal. The calculation puts the volume at 34.82 Å³ per atom. Its calculated total energy is -4.39 eV/atom. The value obtained for the total magnetization is 0.0000 μB/atom. For the formation energy, the calculation gives 0.299 eV per atom.

Cell lengths 6.7082, 6.7082, 17.0218 Å; angles 90.00, 90.00, 90.00 degrees
Space group I-42m (No. 121)
One atom of each set of equivalent atoms:
1 Tb 0.0000 0.5000 0.0000 [4 per cell]
2 Tb 0.1771 0.1771 0.1240 [8 per cell]
3 Nd 0.1903 0.1903 0.3240 [8 per cell]
4 Sm 0.0000 0.0000 0.5000 [2 per cell]